Entry 1:
# TeCl3, relaxed, DFT PBE
# - raw total energy (eV/atom) = -1.917
# - energy relative to the elements, uncorrected (eV per atom) = 0.253
data_TeCl3
_chemical_formula_sum 'Te1 Cl3'
_space_group_name_H-M_alt 'P 1'
_space_group_IT_number 1
_cell_length_a 3.3773
_cell_length_b 4.1655
_cell_length_c 6.2459
_cell_angle_alpha 90.00
_cell_angle_beta 90.00
_cell_angle_gamma 90.00
loop_
_space_group_symop_operation_xyz
'x,y,z'
loop_
_atom_site_label
_atom_site_type_symbol
_atom_site_fract_x
_atom_site_fract_y
_atom_site_fract_z
Cl1 Cl 0.0000 0.0000 0.5000
Te1 Te 0.0000 0.0000 0.0000
Cl2 Cl 0.5000 0.5000 0.2321
Cl3 Cl 0.5000 0.5000 0.7679


Entry 2:
# LuAgH, relaxed, DFT PBE
# - raw total energy (eV/atom) = -3.781
data_LuAgH
_chemical_formula_sum 'Lu2 Ag2 H2'
_space_group_name_H-M_alt 'P 1'
_space_group_IT_number 1
_cell_length_a 3.5489
_cell_length_b 4.4130
_cell_length_c 7.5473
_cell_angle_alpha 92.70
_cell_angle_beta 90.00
_cell_angle_gamma 113.71
loop_
_space_group_symop_operation_xyz
'x,y,z'
loop_
_atom_site_label
_atom_site_type_symbol
_atom_site_fract_x
_atom_site_fract_y
_atom_site_fract_z
H1 H 0.3490 0.6979 0.0291
Lu1 Lu 0.1649 0.3298 0.8243
Lu2 Lu 0.8351 0.6702 0.1757
Ag1 Ag 0.8566 0.7132 0.5995
H2 H 0.6510 0.3021 0.9709
Ag2 Ag 0.1434 0.2868 0.4005


Entry 3:
# RuRhW, relaxed, DFT PBE
# - raw total energy (eV/atom) = -9.882
# - ΔE_f (eV per formula unit) = -0.067
data_RuRhW
_chemical_formula_sum 'Ru1 Rh1 W1'
_space_group_name_H-M_alt 'P 1'
_space_group_IT_number 1
_cell_length_a 4.7899
_cell_length_b 4.7899
_cell_length_c 4.7899
_cell_angle_alpha 146.73
_cell_angle_beta 132.28
_cell_angle_gamma 59.42
loop_
_space_group_symop_operation_xyz
'x,y,z'
loop_
_atom_site_label
_atom_site_type_symbol
_atom_site_fract_x
_atom_site_fract_y
_atom_site_fract_z
Ru1 Ru 0.3316 0.3316 0.0000
W1 W 0.6690 0.6690 0.0000
Rh1 Rh 0.9993 0.9993 0.0000


Entry 4:
# ThPO, relaxed, DFT PBE
# - raw total energy (eV/atom) = -7.978
# - energy relative to the elements, uncorrected (eV per atom) = -2.049
data_ThPO
_chemical_formula_sum 'Th1 P1 O1'
_space_group_name_H-M_alt 'P 1'
_space_group_IT_number 1
_cell_length_a 4.3536
_cell_length_b 3.9576
_cell_length_c 3.9576
_cell_angle_alpha 120.00
_cell_angle_beta 90.00
_cell_angle_gamma 90.00
loop_
_space_group_symop_operation_xyz
'x,y,z'
loop_
_atom_site_label
_atom_site_type_symbol
_atom_site_fract_x
_atom_site_fract_y
_atom_site_fract_z
P1 P 0.6667 0.6667 0.3333
O1 O 0.1667 0.3333 0.6667
Th1 Th 0.1667 0.0000 0.0000


Entry 5:
# Er5TcBi4, relaxed, DFT PBE
# - raw total energy (eV/atom) = -5.309
# - ΔE_f (eV per formula unit) = -4.382
data_Er5TcBi4
_chemical_formula_sum 'Er5 Tc1 Bi4'
_space_group_name_H-M_alt 'P 1'
_space_group_IT_number 1
_cell_length_a 6.3023
_cell_length_b 7.5036
_cell_length_c 7.5036
_cell_angle_alpha 79.84
_cell_angle_beta 65.17
_cell_angle_gamma 65.17
loop_
_space_group_symop_operation_xyz
'x,y,z'
loop_
_atom_site_label
_atom_site_type_symbol
_atom_site_fract_x
_atom_site_fract_y
_atom_site_fract_z
Bi1 Bi 0.4490 0.3790 0.7866
Er1 Er 0.9329 0.3587 0.8241
Er2 Er 0.1157 0.6413 0.1759
Er3 Er 0.7570 0.1759 0.3587
Er4 Er 0.3699 0.0000 0.0000
Tc1 Tc 0.9162 0.0000 0.0000
Bi2 Bi 0.8280 0.7866 0.6210
Bi3 Bi 0.2356 0.2134 0.3790
Er5 Er 0.2916 0.8241 0.6413
Bi4 Bi 0.6145 0.6210 0.2134


Entry 6:
# Li2Pm2PrSb2, relaxed, DFT PBE
# - raw total energy (eV/atom) = -4.379
# - energy relative to the elements, uncorrected (eV per atom) = -0.615
data_Li2Pm2PrSb2
_chemical_formula_sum 'Li2 Pm2 Pr1 Sb2'
_space_group_name_H-M_alt 'P 1'
_space_group_IT_number 1
_cell_length_a 4.7869
_cell_length_b 4.7869
_cell_length_c 9.6726
_cell_angle_alpha 75.67
_cell_angle_beta 75.67
_cell_angle_gamma 60.00
loop_
_space_group_symop_operation_xyz
'x,y,z'
loop_
_atom_site_label
_atom_site_type_symbol
_atom_site_fract_x
_atom_site_fract_y
_atom_site_fract_z
Pm1 Pm 0.1306 0.1306 0.6083
Pr1 Pr 0.0000 0.0000 0.0000
Sb1 Sb 0.2631 0.2631 0.2108
Li1 Li 0.4077 0.4077 0.7768
Li2 Li 0.5923 0.5923 0.2232
Sb2 Sb 0.7369 0.7369 0.7892
Pm2 Pm 0.8694 0.8694 0.3917


Entry 7:
# RbSrRh2, relaxed, DFT PBE
# - raw total energy (eV/atom) = -3.543
# - ΔE_f (eV per formula unit) = 3.179
data_RbSrRh2
_chemical_formula_sum 'Rb2 Sr2 Rh4'
_space_group_name_H-M_alt 'P 1'
_space_group_IT_number 1
_cell_length_a 8.4589
_cell_length_b 8.4589
_cell_length_c 6.6613
_cell_angle_alpha 50.59
_cell_angle_beta 50.59
_cell_angle_gamma 90.00
loop_
_space_group_symop_operation_xyz
'x,y,z'
loop_
_atom_site_label
_atom_site_type_symbol
_atom_site_fract_x
_atom_site_fract_y
_atom_site_fract_z
Rh1 Rh 0.6345 0.1250 0.2500
Rb1 Rb 0.2500 0.7500 0.5000
Rh2 Rh 0.1155 0.6250 0.2500
Sr1 Sr 0.7500 0.2500 0.5000
Rh3 Rh 0.8750 0.8845 0.7500
Sr2 Sr 0.0000 0.0000 0.0000
Rb2 Rb 0.5000 0.5000 0.0000
Rh4 Rh 0.3750 0.3655 0.7500


Entry 8:
# Sr2ZnCo2, relaxed, DFT PBE
# - raw total energy (eV/atom) = -3.495
# - ΔE_f (eV per formula unit) = 1.372
data_Sr2ZnCo2
_chemical_formula_sum 'Sr4 Zn2 Co4'
_space_group_name_H-M_alt 'P 1'
_space_group_IT_number 1
_cell_length_a 7.1040
_cell_length_b 7.1040
_cell_length_c 4.5601
_cell_angle_alpha 90.00
_cell_angle_beta 90.00
_cell_angle_gamma 90.00
loop_
_space_group_symop_operation_xyz
'x,y,z'
loop_
_atom_site_label
_atom_site_type_symbol
_atom_site_fract_x
_atom_site_fract_y
_atom_site_fract_z
Sr1 Sr 0.8182 0.3182 0.5000
Sr2 Sr 0.3182 0.1818 0.5000
Sr3 Sr 0.1818 0.6818 0.5000
Co1 Co 0.3890 0.8890 0.0000
Co2 Co 0.6110 0.1110 0.0000
Co3 Co 0.1110 0.3890 0.0000
Zn1 Zn 0.5000 0.5000 0.0000
Sr4 Sr 0.6818 0.8182 0.5000
Zn2 Zn 0.0000 0.0000 0.0000
Co4 Co 0.8890 0.6110 0.0000


Entry 9:
# KGa3Tc, relaxed, DFT PBE
# - raw total energy (eV/atom) = -4.199
# - ΔE_f (eV per formula unit) = -0.450
data_KGa3Tc
_chemical_formula_sum 'K4 Ga12 Tc4'
_space_group_name_H-M_alt 'P 1'
_space_group_IT_number 1
_cell_length_a 17.2459
_cell_length_b 5.2993
_cell_length_c 6.5733
_cell_angle_alpha 90.00
_cell_angle_beta 136.95
_cell_angle_gamma 90.00
loop_
_space_group_symop_operation_xyz
'x,y,z'
loop_
_atom_site_label
_atom_site_type_symbol
_atom_site_fract_x
_atom_site_fract_y
_atom_site_fract_z
Ga1 Ga 0.4246 0.1728 0.8173
Ga2 Ga 0.7411 0.0918 0.7344
Ga3 Ga 0.2658 0.8925 0.8028
K1 K 0.0383 0.7547 0.1276
Ga4 Ga 0.2342 0.3925 0.6972
Ga5 Ga 0.2411 0.4082 0.2344
K2 K 0.4617 0.2547 0.3724
K3 K 0.9617 0.2453 0.8724
Ga6 Ga 0.7658 0.6075 0.3028
Ga7 Ga 0.9246 0.3272 0.3173
Ga8 Ga 0.5754 0.8272 0.1827
Ga9 Ga 0.2589 0.9082 0.2656
K4 K 0.5383 0.7453 0.6276
Tc1 Tc 0.8663 0.8521 0.2281
Tc2 Tc 0.3663 0.6479 0.7281
Ga10 Ga 0.7589 0.5918 0.7656
Tc3 Tc 0.1337 0.1479 0.7719
Ga11 Ga 0.0754 0.6728 0.6827
Tc4 Tc 0.6337 0.3521 0.2719
Ga12 Ga 0.7342 0.1075 0.1972


Entry 10:
# YMn2Te, relaxed, DFT PBE
# - raw total energy (eV/atom) = -6.981
# - energy relative to the elements, uncorrected (eV per atom) = 0.005
data_YMn2Te
_chemical_formula_sum 'Y1 Mn2 Te1'
_space_group_name_H-M_alt 'P 1'
_space_group_IT_number 1
_cell_length_a 4.5930
_cell_length_b 4.5930
_cell_length_c 5.4469
_cell_angle_alpha 70.45
_cell_angle_beta 70.45
_cell_angle_gamma 52.08
loop_
_space_group_symop_operation_xyz
'x,y,z'
loop_
_atom_site_label
_atom_site_type_symbol
_atom_site_fract_x
_atom_site_fract_y
_atom_site_fract_z
Te1 Te 0.5270 0.5270 0.3938
Y1 Y 0.7459 0.7459 0.7691
Mn1 Mn 0.9754 0.9754 0.0944
Mn2 Mn 0.2517 0.2517 0.2428


Entry 11:
# RbZn2Sb2, relaxed, DFT PBE
# - raw total energy (eV/atom) = -2.557
# - energy relative to the elements, uncorrected (eV per atom) = -0.205
data_RbZn2Sb2
_chemical_formula_sum 'Rb2 Zn4 Sb4'
_space_group_name_H-M_alt 'P 1'
_space_group_IT_number 1
_cell_length_a 7.9525
_cell_length_b 7.9530
_cell_length_c 7.2763
_cell_angle_alpha 108.38
_cell_angle_beta 108.38
_cell_angle_gamma 117.03
loop_
_space_group_symop_operation_xyz
'x,y,z'
loop_
_atom_site_label
_atom_site_type_symbol
_atom_site_fract_x
_atom_site_fract_y
_atom_site_fract_z
Sb1 Sb 0.2245 0.2756 0.7500
Zn1 Zn 0.5283 0.2724 0.0542
Sb2 Sb 0.5322 0.9678 0.7500
Rb1 Rb 0.8673 0.6326 0.7500
Zn2 Zn 0.4717 0.7276 0.9458
Zn3 Zn 0.2276 0.9718 0.4458
Zn4 Zn 0.7724 0.0282 0.5542
Sb3 Sb 0.7755 0.7244 0.2500
Sb4 Sb 0.4678 0.0322 0.2500
Rb2 Rb 0.1327 0.3674 0.2500


Entry 12:
# Ce2Y3Er6Sc, relaxed, DFT PBE
# - raw total energy (eV/atom) = -5.360
# - ΔE_f (eV per formula unit) = 0.652
data_Ce2Y3Er6Sc
_chemical_formula_sum 'Ce2 Y3 Er6 Sc1'
_space_group_name_H-M_alt 'P 1'
_space_group_IT_number 1
_cell_length_a 6.0637
_cell_length_b 6.0637
_cell_length_c 11.6167
_cell_angle_alpha 94.99
_cell_angle_beta 94.99
_cell_angle_gamma 119.99
loop_
_space_group_symop_operation_xyz
'x,y,z'
loop_
_atom_site_label
_atom_site_type_symbol
_atom_site_fract_x
_atom_site_fract_y
_atom_site_fract_z
Er1 Er 0.2508 0.2508 0.7541
Y1 Y 0.1659 0.8341 0.5000
Er2 Er 0.7492 0.7492 0.2459
Ce1 Ce 0.6662 0.3338 0.0000
Y2 Y 0.5000 0.5000 0.5000
Er3 Er 0.0819 0.4145 0.2456
Er4 Er 0.4145 0.0819 0.2456
Er5 Er 0.5855 0.9181 0.7544
Y3 Y 0.8341 0.1659 0.5000
Sc1 Sc 0.0000 0.0000 0.0000
Ce2 Ce 0.3338 0.6662 0.0000
Er6 Er 0.9181 0.5855 0.7544


Values for total magnetization, Bohr magnetons per cell, ordered as above
0.0, 0.0, 0.0, 0.0, 0.0, 0.0, 2.5, 4.8, 0.0, 6.2, 0.0, 1.7